1.
DFT (PBE-GGA) results for Cs2SmHg2Se4 after structural relaxation.

Values from the calculation:
DOS(E_F), states/eV/f.u.: 3.926
DFT total energy, eV for the cell shown: -29.877

Unit cell a=4.324 b=8.874 c=8.772 alpha=111.41 beta=104.27 gamma=90.00
Sites, in units of the cell vectors:
Cs 0.872 0.431 0.743
Cs 0.128 0.569 0.257
Se 0.476 0.211 0.953
Se 0.183 0.211 0.366
Se 0.817 0.789 0.634
Se 0.524 0.789 0.047
Sm 0.000 0.000 0.000
Hg 0.688 0.015 0.376
Hg 0.312 0.985 0.624



2.
DFT (PBE-GGA) results for TaZnCu after structural relaxation.

Values from the calculation:
DOS(E_F), states/eV/f.u.: 1.917
Calculated formation energy, meV per atom: 803

Unit cell a=4.247 b=4.247 c=4.247 alpha=60.00 beta=60.00 gamma=60.00
Sites, in units of the cell vectors:
Zn 0.000 0.000 0.000
Ta 0.750 0.750 0.750
Cu 0.500 0.500 0.500



3.
DFT (PBE-GGA) results for SrMn2Cd after structural relaxation.

Values from the calculation:
DOS(E_F), states/eV/f.u.: 3.082
Calculated formation energy, meV per atom: 535

Unit cell a=5.113 b=5.113 c=5.113 alpha=60.00 beta=60.00 gamma=60.00
Sites, in units of the cell vectors:
Cd 0.500 0.500 0.500
Sr 0.750 0.750 0.750
Mn 0.250 0.250 0.250
Mn 0.000 0.000 0.000



4.
DFT (PBE-GGA) results for DyNbOsRh after structural relaxation.

Values from the calculation:
DOS(E_F), states/eV/f.u.: 3.198
Calculated formation energy, meV per atom: -305

Unit cell a=4.659 b=4.659 c=4.659 alpha=60.00 beta=60.00 gamma=60.00
Sites, in units of the cell vectors:
Dy 0.500 0.500 0.500
Os 0.250 0.250 0.250
Rh 0.750 0.750 0.750
Nb 0.000 0.000 0.000



5.
DFT (PBE-GGA) results for MnTe2P after structural relaxation.

Values from the calculation:
DOS(E_F), states/eV/f.u.: 3.263
DFT total energy, eV for the cell shown: -19.878

Unit cell a=6.986 b=6.986 c=6.986 alpha=33.86 beta=33.86 gamma=33.86
Sites, in units of the cell vectors:
Mn 0.500 0.500 0.500
Te 0.249 0.249 0.249
Te 0.751 0.751 0.751
P 0.000 0.000 0.000



6.
DFT (PBE-GGA) results for RbGaAs after structural relaxation.

Values from the calculation:
E above lowest polymorph, meV per atom: 59
Calculated formation energy, meV per atom: -341

Unit cell a=3.957 b=6.040 c=10.338 alpha=107.03 beta=101.03 gamma=90.00
Sites, in units of the cell vectors:
Ga 0.564 0.065 0.129
Ga 0.436 0.935 0.871
As 0.138 0.139 0.276
As 0.862 0.861 0.724
Rb 0.324 0.324 0.649
Rb 0.676 0.676 0.351



These records have volume values of 302.2; 54.2; 94.5; 71.5; 94.3; 231.4 Å³/cell, in the order they appear.